First-principles (PBE+U) data for a relaxed structure of ScNbV2O6, as listed in Alexandria.

a b c (Å): 5.7341 5.7341 5.7341
angles (deg): 55.07 55.07 55.07
Sites, in units of the cell vectors:
Sc1 0.0000 0.0000 0.0000
Nb1 0.4959 0.4959 0.4959
V1 0.2961 0.2961 0.2961
V2 0.7951 0.7951 0.7951
O1 0.1045 0.3834 0.7018
O2 0.2179 0.8710 0.5888
O3 0.3834 0.7018 0.1045
O4 0.5888 0.2179 0.8710
O5 0.7018 0.1045 0.3834
O6 0.8710 0.5888 0.2179

Volume = 11.80 Å³ per atom
Density = 4.724 g cm⁻³
DFT total energy = -8.585 eV per atom
Magnetic moment = 6.000 Bohr magnetons per cell